Crystalline Li5VP3O12 at its relaxed geometry. Source: Alexandria, functional PBE+U.

a = 9.480 Å, b = 9.292 Å, c = 9.541 Å
α = 53.32°, β = 52.85°, γ = 53.56°
Site moments in Bohr magnetons follow the coordinates.
Fractional coordinates of all 42 atoms:
Li 0.469 0.098 0.844  0.00
Li 0.599 0.942 0.348  0.00
Li 0.935 0.353 0.609  0.00
Li 0.453 0.430 0.458  0.00
Li 0.315 0.318 0.318  0.00
Li 0.572 0.582 0.573  0.00
Li 0.697 0.713 0.692  0.00
Li 0.182 0.855 0.484  0.00
Li 0.843 0.462 0.110  0.00
Li 0.353 0.610 0.937  0.00
V 0.097 0.093 0.099  1.00
V 0.900 0.907 0.907  1.07
P 0.280 0.005 0.718  0.00
P 0.201 0.510 0.815  0.00
P 0.818 0.195 0.511  0.00
P 0.718 0.288 0.005  0.00
P 0.993 0.715 0.274  0.00
P 0.507 0.809 0.197  0.00
O 0.813 0.163 0.886  -0.03
O 0.281 0.018 0.874  -0.01
O 0.200 0.203 0.581  0.00
O 0.626 0.497 0.890  -0.01
O 0.623 0.192 0.585  -0.01
O 0.368 0.503 0.809  -0.01
O 0.939 0.191 0.306  -0.01
O 0.002 0.642 0.922  -0.02
O 0.217 0.576 0.616  0.00
O 0.802 0.374 0.502  -0.01
O 0.304 0.929 0.191  0.00
O 0.638 0.920 0.002  -0.01
O 0.882 0.280 0.014  0.00
O 0.157 0.880 0.826  0.00
O 0.485 0.887 0.620  -0.01
O 0.578 0.207 0.201  0.00
O 0.186 0.573 0.198  0.00
O 0.886 0.633 0.487  -0.01
O 0.192 0.301 0.942  -0.02
O 0.936 0.007 0.636  -0.01
O 0.478 0.814 0.371  0.00
O 0.580 0.603 0.215  0.00
O 0.016 0.895 0.232  -0.04
O 0.860 0.808 0.173  -0.01

Results
As for the total magnetization: 0.97 μB per formula unit. The calculation puts the total DFT energy (no corrections) at -6.685 eV per atom.